A plane-wave DFT calculation with GGA+U was carried out for a relaxed structure of HfMnAs2O8.

Computed properties:
Theoretical density in g/cm3: 5.84
VASP energy in eV per atom: -7.42

Lattice parameters (Å, degrees): 6.851 6.851 6.197 90.00 90.00 90.00
Space group I-4m2 (No. 119)
Unique sites:
Hf1 0.000 0.000 0.000
Mn1 0.000 0.500 0.250
As1 0.000 0.000 0.500
As2 0.000 0.500 0.750
O1 0.000 0.182 0.308
O2 0.000 0.308 0.927

A plane-wave DFT calculation with GGA+U was carried out for a relaxed structure of ScMn2PbO6.

Computed properties:
Theoretical density in g/cm3: 6.27
VASP energy in eV per atom: -7.32

Lattice parameters (Å, degrees): 5.4108 5.4108 14.3509 90.00 90.00 120.00
Space group R3 (No. 146, hexagonal axes)
Unique sites:
Sc1 0.0000 0.0000 0.0000
Mn1 0.0000 0.0000 0.3003
Mn2 0.0000 0.0000 0.7867
Pb1 0.0000 0.0000 0.5186
O1 0.0082 0.4195 0.5612
O2 0.0178 0.7134 0.3838

theoretical density of number 2 (ScMn2PbO6)? 6.27 g/cm3